{"formula": "HfCdSbI2", "functional": "GGA-PBE", "state": "relaxed", "cell": [[-3.024, -2.436, -4.136], [-3.572, -2.122, 3.863], [-3.225, 4.692, -0.405]], "species": ["I", "I", "Sb", "Hf", "Cd"], "fractional_positions": [[0.000, 0.500, 0.000], [0.500, 0.000, 0.000], [0.000, 0.000, 0.500], [0.000, 0.000, 0.000], [0.500, 0.500, 0.500]], "spacegroup": "P4/mmm (123)", "dos_at_fermi_per_ev_cell": 3.7, "e_form_raw_mev_per_atom": -48, "de_polymorph_kcal_per_mol_atoms": 0.00}